[1]
DFT (PBE) results for an optimized crystal structure of Na10B11C9.

Summary:
DOS(E_F) in states/eV/cell: 2.2
E above lowest polymorph in kcal/mol of atoms: 0.190
M_tot in μB/cell: 0.0
Energy of formation from the pure elements in eV per atom: 0.033

Cell lengths 2.8367, 2.8367, 42.2042 Å; angles 90.00, 90.00, 120.00 degrees
Space group P-6m2 (No. 187)
Inequivalent atoms, fractional coordinates:
1 Na 0.0000 0.0000 0.0498
2 Na 0.0000 0.0000 0.1494
3 Na 0.0000 0.0000 0.2489
4 Na 0.0000 0.0000 0.3485
5 Na 0.0000 0.0000 0.4486
6 B 0.3333 0.6667 0.0000
7 B 0.3333 0.6667 0.1992
8 B 0.3333 0.6667 0.3982
9 B 0.3333 0.6667 0.5000
10 B 0.6667 0.3333 0.0996
11 B 0.6667 0.3333 0.2986
12 B 0.6667 0.3333 0.5000
13 C 0.3333 0.6667 0.0996
14 C 0.3333 0.6667 0.2986
15 C 0.6667 0.3333 0.0000
16 C 0.6667 0.3333 0.1991
17 C 0.6667 0.3333 0.3981



[2]
DFT (PBE) results for an optimized crystal structure of Sr3AgHg.

Summary:
DOS(E_F) in states/eV/cell: 15.5
E above lowest polymorph in kcal/mol of atoms: 0.000
M_tot in μB/cell: 0.0
Energy of formation from the pure elements in eV per atom: -0.315

Cell lengths 12.945, 4.365, 13.452 Å; angles 90.00, 90.00, 90.00 degrees
Space group Pnma (No. 62)
Inequivalent atoms, fractional coordinates:
1 Sr 0.052 0.250 0.124
2 Sr 0.124 0.750 0.552
3 Sr 0.218 0.250 0.804
4 Ag 0.188 0.750 0.991
5 Hg 0.018 0.750 0.316